Here is a relaxed structure of KYRuN2 from Alexandria via LeMat-Bulk. Energies are from GGA-PBEsol.

a b c (Å): 4.574 4.574 5.028
angles (deg): 90.00 90.00 90.00
Each line ends with the local moment (μB).
Fractional coordinates of all 5 atoms:
Y (0.000, 0.000, 0.000)  0.02
Ru (0.000, 0.000, 0.500)  1.75
K (0.500, 0.500, 0.500)  0.00
N (0.000, 0.500, 0.000)  0.92
N (0.500, 0.000, 0.000)  0.92

- Mass density: 4.06 g/cm3
- Formation energy without anion corrections: 1.3979 eV/atom